Record 1
Entry from Alexandria via LeMat-Bulk: crystalline MnCoRe2 at its relaxed geometry (PBE-GGA).

Values from the calculation:
For the energy above the most stable polymorph in this dataset, the calculation gives 85 meV per atom. Its symmetry is Cm, No. 8. For the volume, the calculation gives 13.034 A^3/atom. The value obtained for the magnetic moment is 1.517 μB per formula unit. Its formation energy is 1.55 kcal/mol of atoms.

a = 4.546 Å, b = 4.546 Å, c = 4.581 Å
α = 99.19°, β = 99.19°, γ = 33.95°
Fractional positions:
1 Mn 0.000 0.000 0.000
2 Co 0.749 0.749 0.251
3 Re 0.252 0.252 0.763
4 Re 0.494 0.494 0.475



Record 2
Entry from Alexandria via LeMat-Bulk: crystalline MnCoRe2 at its relaxed geometry (PBE-GGA).

Values from the calculation:
For the energy above the most stable polymorph in this dataset, the calculation gives 144 meV per atom. Its symmetry is C2/m, No. 12. For the volume, the calculation gives 13.258 A^3/atom. The value obtained for the magnetic moment is 1.770 μB per formula unit. Its formation energy is 2.90 kcal/mol of atoms.

a = 4.543 Å, b = 4.543 Å, c = 4.638 Å
α = 99.50°, β = 99.50°, γ = 34.22°
Fractional positions:
1 Mn 0.000 0.000 0.000
2 Co 0.500 0.500 0.500
3 Re 0.246 0.246 0.747
4 Re 0.754 0.754 0.253



Record 3
Entry from Alexandria via LeMat-Bulk: crystalline MnCo2Re2 at its relaxed geometry (PBE-GGA).

Values from the calculation:
Its symmetry is P4/mbm, No. 127. For the volume, the calculation gives 12.795 A^3/atom. The value obtained for the magnetic moment is 0.000 μB per formula unit. Its formation energy is 6.39 kcal/mol of atoms.

a = 6.972 Å, b = 6.972 Å, c = 2.633 Å
α = 90.00°, β = 90.00°, γ = 90.00°
Fractional positions:
1 Mn 0.000 0.000 0.000
2 Mn 0.500 0.500 0.000
3 Co 0.120 0.380 0.000
4 Co 0.380 0.880 0.000
5 Co 0.620 0.120 0.000
6 Co 0.880 0.620 0.000
7 Re 0.177 0.677 0.500
8 Re 0.323 0.177 0.500
9 Re 0.677 0.823 0.500
10 Re 0.823 0.323 0.500



Record 4
Entry from Alexandria via LeMat-Bulk: crystalline MnCoRe2 at its relaxed geometry (PBE-GGA).

Values from the calculation:
For the energy above the most stable polymorph in this dataset, the calculation gives 152 meV per atom. Its symmetry is F-43m, No. 216. For the volume, the calculation gives 13.641 A^3/atom. The value obtained for the magnetic moment is 4.606 μB per formula unit. Its formation energy is 3.10 kcal/mol of atoms.

a = 4.257 Å, b = 4.257 Å, c = 4.257 Å
α = 60.00°, β = 60.00°, γ = 60.00°
Fractional positions:
1 Mn 0.000 0.000 0.000
2 Co 0.750 0.750 0.750
3 Re 0.250 0.250 0.250
4 Re 0.500 0.500 0.500



Record 5
Entry from Alexandria via LeMat-Bulk: crystalline Mn2CoRe2 at its relaxed geometry (PBE-GGA).

Values from the calculation:
For the energy above the most stable polymorph in this dataset, the calculation gives 133 meV per atom. Its symmetry is P4/mbm, No. 127. For the volume, the calculation gives 13.451 A^3/atom. The value obtained for the magnetic moment is 0.014 μB per formula unit. Its formation energy is 9.94 kcal/mol of atoms.

a = 7.068 Å, b = 7.068 Å, c = 2.693 Å
α = 90.00°, β = 90.00°, γ = 90.00°
Fractional positions:
1 Mn 0.164 0.336 0.000
2 Mn 0.336 0.836 0.000
3 Mn 0.664 0.164 0.000
4 Mn 0.836 0.664 0.000
5 Co 0.000 0.000 0.500
6 Co 0.500 0.500 0.500
7 Re 0.135 0.635 0.500
8 Re 0.365 0.135 0.500
9 Re 0.635 0.865 0.500
10 Re 0.865 0.365 0.500



Record 6
Entry from Alexandria via LeMat-Bulk: crystalline Mn3CoRe at its relaxed geometry (PBE-GGA).

Values from the calculation:
For the energy above the most stable polymorph in this dataset, the calculation gives 0 meV per atom. Its symmetry is Pm-3m, No. 221. For the volume, the calculation gives 13.588 A^3/atom. The value obtained for the magnetic moment is 0.000 μB per formula unit. Its formation energy is 33.83 kcal/mol of atoms.

a = 4.080 Å, b = 4.080 Å, c = 4.080 Å
α = 90.00°, β = 90.00°, γ = 90.00°
Fractional positions:
1 Mn 0.000 0.000 0.500
2 Mn 0.000 0.500 0.000
3 Mn 0.500 0.000 0.000
4 Co 0.000 0.000 0.000
5 Re 0.500 0.500 0.500



Record 7
Entry from Alexandria via LeMat-Bulk: crystalline MnCoRe2 at its relaxed geometry (PBE-GGA).

Values from the calculation:
For the energy above the most stable polymorph in this dataset, the calculation gives 124 meV per atom. Its symmetry is P4mm, No. 99. For the volume, the calculation gives 13.512 A^3/atom. The value obtained for the magnetic moment is 4.564 μB per formula unit. Its formation energy is 2.45 kcal/mol of atoms.

a = 3.007 Å, b = 3.007 Å, c = 5.977 Å
α = 90.00°, β = 90.00°, γ = 90.00°
Fractional positions:
1 Mn 0.000 0.000 0.000
2 Co 0.500 0.500 0.786
3 Re 0.000 0.000 0.525
4 Re 0.500 0.500 0.266



Record 8
Entry from Alexandria via LeMat-Bulk: crystalline MnCoRe2 at its relaxed geometry (PBE-GGA).

Values from the calculation:
For the energy above the most stable polymorph in this dataset, the calculation gives 324 meV per atom. Its symmetry is Fm-3m, No. 225. For the volume, the calculation gives 12.894 A^3/atom. The value obtained for the magnetic moment is 0.001 μB per formula unit. Its formation energy is 7.07 kcal/mol of atoms.

a = 4.178 Å, b = 4.178 Å, c = 4.178 Å
α = 60.00°, β = 60.00°, γ = 60.00°
Fractional positions:
1 Mn 0.000 0.000 0.000
2 Co 0.500 0.500 0.500
3 Re 0.250 0.250 0.250
4 Re 0.750 0.750 0.750